Model one:
A plane-wave DFT calculation with PBE-GGA was carried out for crystalline KBiSb at its relaxed geometry.

Space-group type = P-6m2
Size of the total moment = 0.00 μB per cell

The structure in CIF format:
```
data_KBiSb
_space_group_name_H-M_alt 'P 1'
_space_group_IT_number 1
_cell_length_a 5.091
_cell_length_b 5.283
_cell_length_c 5.283
_cell_angle_alpha 120.00
_cell_angle_beta 90.00
_cell_angle_gamma 90.00
loop_
_space_group_symop_operation_xyz
'x,y,z'
loop_
_atom_site_label
_atom_site_type_symbol
_atom_site_fract_x
_atom_site_fract_y
_atom_site_fract_z
_atom_site_occupancy
Sb1 Sb 0.167 0.333 0.667 1
K1 K 0.667 0.667 0.333 1
Bi1 Bi 0.166 0.000 0.000 1
```


Model two:
A plane-wave DFT calculation with PBE-GGA was carried out for crystalline KBiSb at its relaxed geometry.

Space-group type = C2/m
Size of the total moment = 0.00 μB per cell

The structure in CIF format:
```
data_KBiSb
_space_group_name_H-M_alt 'P 1'
_space_group_IT_number 1
_cell_length_a 4.318
_cell_length_b 5.095
_cell_length_c 12.881
_cell_angle_alpha 82.88
_cell_angle_beta 80.35
_cell_angle_gamma 64.93
loop_
_space_group_symop_operation_xyz
'x,y,z'
loop_
_atom_site_label
_atom_site_type_symbol
_atom_site_fract_x
_atom_site_fract_y
_atom_site_fract_z
_atom_site_occupancy
Bi1 Bi 0.012 0.770 0.206 1
K1 K 0.133 0.838 0.896 1
Sb1 Sb 0.232 0.927 0.609 1
K2 K 0.621 0.348 0.411 1
Bi2 Bi 0.741 0.417 0.102 1
Sb2 Sb 0.521 0.259 0.698 1
```


On energetic grounds, model one is preferred over the next structure by 0.017 eV/atom.


Model one:
A plane-wave DFT calculation with PBE-GGA was carried out for crystalline KBiSb at its relaxed geometry.

Space-group type = Immm
Size of the total moment = 0.00 μB per cell

The structure in CIF format:
```
data_KBiSb
_space_group_name_H-M_alt 'P 1'
_space_group_IT_number 1
_cell_length_a 6.669
_cell_length_b 3.377
_cell_length_c 10.188
_cell_angle_alpha 99.54
_cell_angle_beta 109.11
_cell_angle_gamma 90.00
loop_
_space_group_symop_operation_xyz
'x,y,z'
loop_
_atom_site_label
_atom_site_type_symbol
_atom_site_fract_x
_atom_site_fract_y
_atom_site_fract_z
_atom_site_occupancy
Sb1 Sb 0.213 0.500 0.000 1
Bi1 Bi 0.155 0.655 0.311 1
K1 K 0.649 0.149 0.298 1
Sb2 Sb 0.787 0.500 0.000 1
K2 K 0.351 0.851 0.702 1
Bi2 Bi 0.845 0.345 0.689 1
```


Model two:
A plane-wave DFT calculation with PBE-GGA was carried out for crystalline KBiSb at its relaxed geometry.

Space-group type = P2/m
Size of the total moment = 0.00 μB per cell

The structure in CIF format:
```
data_KBiSb
_space_group_name_H-M_alt 'P 1'
_space_group_IT_number 1
_cell_length_a 5.196
_cell_length_b 5.474
_cell_length_c 10.103
_cell_angle_alpha 120.59
_cell_angle_beta 90.00
_cell_angle_gamma 90.00
loop_
_space_group_symop_operation_xyz
'x,y,z'
loop_
_atom_site_label
_atom_site_type_symbol
_atom_site_fract_x
_atom_site_fract_y
_atom_site_fract_z
_atom_site_occupancy
K1 K 0.361 0.501 0.487 1
K2 K 0.361 0.512 0.008 1
Bi1 Bi 0.861 0.841 0.835 1
Sb1 Sb 0.861 0.824 0.317 1
Sb2 Sb 0.861 0.188 0.177 1
Bi2 Bi 0.861 0.172 0.660 1
```


On energetic grounds, model two is preferred over the next structure by 0.099 eV/atom.